Entry 1:
Here is a crystal of LiInSe2 relaxed with PBEsol from the Alexandria database. Energies are from SCAN.

Values from the calculation:
The value obtained for the formation energy without anion corrections is -0.997 eV/atom.

abc: 7.223 8.421 6.819
angles: 90.00 90.00 90.00
Fractional coordinates of all 16 atoms:
Li1 0.088 0.123 0.000
Li2 0.412 0.623 0.500
Li3 0.588 0.377 0.000
Li4 0.912 0.877 0.500
In1 0.080 0.626 0.998
In2 0.420 0.126 0.498
In3 0.580 0.874 0.998
In4 0.920 0.374 0.498
Se1 0.081 0.631 0.617
Se2 0.083 0.121 0.628
Se3 0.417 0.621 0.128
Se4 0.419 0.131 0.117
Se5 0.581 0.869 0.617
Se6 0.583 0.379 0.628
Se7 0.917 0.879 0.128
Se8 0.919 0.369 0.117



Entry 2:
Here is a crystal of LiIn2Se relaxed with PBEsol from the Alexandria database. Energies are from SCAN.

Values from the calculation:
The calculation puts the energy above the lowest structure with this stoichiometry at 0.00 kJ per mole of atoms. The value obtained for the formation energy without anion corrections is -0.479 eV/atom.

abc: 6.465 6.465 6.465
angles: 146.93 141.62 51.54
Fractional coordinates of all 4 atoms:
Li1 0.000 0.000 0.000
In1 0.298 0.798 0.500
In2 0.702 0.202 0.500
Se1 0.500 0.500 0.000



Entry 3:
Here is a crystal of LiIn2Se relaxed with PBEsol from the Alexandria database. Energies are from SCAN.

Values from the calculation:
The calculation puts the energy above the lowest structure with this stoichiometry at 7.35 kJ per mole of atoms. The value obtained for the formation energy without anion corrections is -0.403 eV/atom.

abc: 3.987 5.394 4.318
angles: 90.00 93.02 90.00
Fractional coordinates of all 4 atoms:
Li1 0.000 0.000 0.000
In1 0.256 0.500 0.743
In2 0.744 0.500 0.257
Se1 0.500 0.000 0.500



Entry 4:
Here is a crystal of LiInSe2 relaxed with PBEsol from the Alexandria database. Energies are from SCAN.

Values from the calculation:
The value obtained for the formation energy without anion corrections is -0.235 eV/atom.

abc: 3.090 3.090 9.458
angles: 90.00 90.00 90.24
Fractional coordinates of all 4 atoms:
Li1 0.000 0.000 0.000
In1 0.500 0.500 0.294
Se1 0.000 0.000 0.504
Se2 0.500 0.500 0.847



Entry 5:
Here is a crystal of LiInSe2 relaxed with PBEsol from the Alexandria database. Energies are from SCAN.

Values from the calculation:
The value obtained for the formation energy without anion corrections is -0.885 eV/atom.

abc: 6.793 6.793 6.793
angles: 131.57 131.57 70.90
Fractional coordinates of all 8 atoms:
Li1 0.375 0.625 0.750
Li2 0.625 0.375 0.250
In1 0.125 0.875 0.250
In2 0.875 0.125 0.750
Se1 0.115 0.365 0.750
Se2 0.365 0.115 0.250
Se3 0.635 0.885 0.750
Se4 0.885 0.635 0.250



Entry 6:
Here is a crystal of Li3InSe relaxed with PBEsol from the Alexandria database. Energies are from SCAN.

Values from the calculation:
The value obtained for the formation energy without anion corrections is -0.600 eV/atom.

abc: 4.797 4.797 4.797
angles: 90.00 90.00 90.00
Fractional coordinates of all 5 atoms:
Li1 0.000 0.000 0.500
Li2 0.000 0.500 0.000
Li3 0.500 0.000 0.000
In1 0.500 0.500 0.500
Se1 0.000 0.000 0.000



Entry 7:
Here is a crystal of LiInSe2 relaxed with PBEsol from the Alexandria database. Energies are from SCAN.

Values from the calculation:
The value obtained for the formation energy without anion corrections is -0.376 eV/atom.

abc: 4.943 4.943 4.943
angles: 122.37 122.37 85.95
Fractional coordinates of all 4 atoms:
Li1 0.000 0.000 0.000
In1 0.500 0.500 0.000
Se1 0.250 0.750 0.500
Se2 0.750 0.250 0.500



Entry 8:
Here is a crystal of LiInSe2 relaxed with PBEsol from the Alexandria database. Energies are from SCAN.

Values from the calculation:
The value obtained for the formation energy without anion corrections is -0.920 eV/atom.

abc: 6.810 6.810 6.810
angles: 33.23 33.23 33.23
Fractional coordinates of all 4 atoms:
Li1 0.000 0.000 0.000
In1 0.500 0.500 0.500
Se1 0.249 0.249 0.249
Se2 0.751 0.751 0.751



Entry 9:
Here is a crystal of Li2InSe relaxed with PBEsol from the Alexandria database. Energies are from SCAN.

Values from the calculation:
The value obtained for the formation energy without anion corrections is -0.685 eV/atom.

abc: 3.871 3.964 5.033
angles: 90.00 90.00 90.00
Fractional coordinates of all 4 atoms:
Li1 0.000 0.000 0.000
Li2 0.000 0.500 0.415
In1 0.500 0.500 0.863
Se1 0.500 0.000 0.329



Entry 10:
Here is a crystal of Li2InSe relaxed with PBEsol from the Alexandria database. Energies are from SCAN.

Values from the calculation:
The value obtained for the formation energy without anion corrections is -0.546 eV/atom.

abc: 5.091 5.091 5.091
angles: 129.33 129.33 74.48
Fractional coordinates of all 4 atoms:
Li1 0.250 0.750 0.500
Li2 0.750 0.250 0.500
In1 0.000 0.000 0.000
Se1 0.500 0.500 0.000



Entry 11:
Here is a crystal of LiInSe2 relaxed with PBEsol from the Alexandria database. Energies are from SCAN.

Values from the calculation:
The value obtained for the formation energy without anion corrections is -0.998 eV/atom.

abc: 7.193 7.193 7.193
angles: 131.09 131.09 71.67
Fractional coordinates of all 8 atoms:
Li1 0.000 0.000 0.000
Li2 0.750 0.250 0.500
In1 0.250 0.750 0.500
In2 0.500 0.500 0.000
Se1 0.116 0.625 0.991
Se2 0.375 0.366 0.491
Se3 0.634 0.125 0.009
Se4 0.875 0.884 0.509



Entry 12:
Here is a crystal of LiInSe2 relaxed with PBEsol from the Alexandria database. Energies are from SCAN.

Values from the calculation:
The value obtained for the formation energy without anion corrections is -0.672 eV/atom.

abc: 6.995 6.995 6.995
angles: 150.11 149.68 43.10
Fractional coordinates of all 4 atoms:
Li1 0.000 0.000 0.000
In1 0.739 0.239 0.500
Se1 0.334 0.834 0.500
Se2 0.581 0.581 0.000



Entry 13:
Here is a crystal of Li2In2SiSe6 relaxed with PBEsol from the Alexandria database. Energies are from SCAN.

Values from the calculation:
The value obtained for the formation energy without anion corrections is -0.863 eV/atom.

abc: 7.303 7.303 12.569
angles: 107.23 107.23 60.35
Fractional coordinates of all 22 atoms:
Li1 0.103 0.897 0.500
Li2 0.522 0.901 0.165
Li3 0.897 0.103 0.000
Li4 0.901 0.522 0.665
In1 0.273 0.414 0.010
In2 0.414 0.273 0.510
In3 0.425 0.619 0.813
In4 0.619 0.425 0.313
Si1 0.045 0.507 0.253
Si2 0.507 0.045 0.753
Se1 0.160 0.631 0.621
Se2 0.179 0.229 0.801
Se3 0.216 0.716 0.302
Se4 0.229 0.179 0.301
Se5 0.271 0.766 0.999
Se6 0.466 0.928 0.563
Se7 0.631 0.160 0.121
Se8 0.711 0.756 0.840
Se9 0.716 0.216 0.802
Se10 0.756 0.711 0.340
Se11 0.766 0.271 0.499
Se12 0.928 0.466 0.063



Entry 14:
Here is a crystal of LiInSi relaxed with PBEsol from the Alexandria database. Energies are from SCAN.

Values from the calculation:
The value obtained for the formation energy without anion corrections is 0.069 eV/atom.

abc: 4.736 4.736 2.881
angles: 90.00 90.00 120.00
Fractional coordinates of all 3 atoms:
Li1 0.000 0.000 0.000
In1 0.667 0.333 0.502
Si1 0.333 0.667 0.502



Entry 15:
Here is a crystal of LiInSi2 relaxed with PBEsol from the Alexandria database. Energies are from SCAN.

Values from the calculation:
The value obtained for the formation energy without anion corrections is 0.223 eV/atom.

abc: 2.900 4.549 5.637
angles: 90.00 101.84 90.00
Fractional coordinates of all 4 atoms:
Li1 0.000 0.000 0.000
In1 0.500 0.000 0.500
Si1 0.349 0.500 0.182
Si2 0.651 0.500 0.818



Entry 16:
Here is a crystal of LiInSi2 relaxed with PBEsol from the Alexandria database. Energies are from SCAN.

Values from the calculation:
The value obtained for the formation energy without anion corrections is 0.226 eV/atom.

abc: 3.047 3.047 7.640
angles: 90.00 90.00 90.00
Fractional coordinates of all 4 atoms:
Li1 0.000 0.000 0.000
In1 0.500 0.500 0.706
Si1 0.000 0.000 0.410
Si2 0.500 0.500 0.229



Entry 17:
Here is a crystal of LiIn2Si relaxed with PBEsol from the Alexandria database. Energies are from SCAN.

Values from the calculation:
The value obtained for the formation energy without anion corrections is 0.058 eV/atom.

abc: 6.535 6.535 6.535
angles: 99.12 99.12 133.07
Fractional coordinates of all 8 atoms:
Li1 0.000 0.000 0.000
Li2 0.750 0.250 0.500
In1 0.202 0.625 0.077
In2 0.375 0.452 0.577
In3 0.548 0.125 0.923
In4 0.875 0.798 0.423
Si1 0.250 0.750 0.500
Si2 0.500 0.500 0.000



Entry 18:
Here is a crystal of LiIn2Si relaxed with PBEsol from the Alexandria database. Energies are from SCAN.

Values from the calculation:
The value obtained for the formation energy without anion corrections is 0.106 eV/atom.

abc: 3.343 4.104 5.858
angles: 90.00 90.00 90.00
Fractional coordinates of all 4 atoms:
Li1 0.000 0.000 0.000
In1 0.000 0.000 0.469
In2 0.500 0.500 0.763
Si1 0.500 0.500 0.244



Entry 19:
Here is a crystal of LiIn2Si relaxed with PBEsol from the Alexandria database. Energies are from SCAN.

Values from the calculation:
The value obtained for the formation energy without anion corrections is 0.071 eV/atom.

abc: 5.511 5.511 5.511
angles: 136.19 136.19 63.69
Fractional coordinates of all 4 atoms:
Li1 0.000 0.000 0.000
In1 0.250 0.750 0.500
In2 0.500 0.500 0.000
Si1 0.750 0.250 0.500



Entry 20:
Here is a crystal of LiInSi2 relaxed with PBEsol from the Alexandria database. Energies are from SCAN.

Values from the calculation:
The value obtained for the formation energy without anion corrections is 0.112 eV/atom.

abc: 7.103 7.103 7.103
angles: 30.21 30.21 30.21
Fractional coordinates of all 4 atoms:
Li1 0.000 0.000 0.000
In1 0.228 0.228 0.228
Si1 0.461 0.461 0.461
Si2 0.747 0.747 0.747



Entry 21:
Here is a crystal of LiInSi relaxed with PBEsol from the Alexandria database. Energies are from SCAN.

Values from the calculation:
The value obtained for the formation energy without anion corrections is 0.138 eV/atom.

abc: 3.130 3.130 6.579
angles: 90.00 90.00 120.00
Fractional coordinates of all 3 atoms:
Li1 0.000 0.000 0.000
In1 0.667 0.333 0.353
Si1 0.333 0.667 0.698



Entry 22:
Here is a crystal of LiIn2Si relaxed with PBEsol from the Alexandria database. Energies are from SCAN.

Values from the calculation:
The value obtained for the formation energy without anion corrections is 0.122 eV/atom.

abc: 9.006 9.006 9.006
angles: 21.02 21.02 21.02
Fractional coordinates of all 4 atoms:
Li1 0.000 0.000 0.000
In1 0.249 0.249 0.249
In2 0.751 0.751 0.751
Si1 0.500 0.500 0.500



Entry 23:
Here is a crystal of Li3InSi relaxed with PBEsol from the Alexandria database. Energies are from SCAN.

Values from the calculation:
The value obtained for the formation energy without anion corrections is 0.094 eV/atom.

abc: 4.761 4.761 4.761
angles: 90.00 90.00 90.00
Fractional coordinates of all 5 atoms:
Li1 0.000 0.000 0.500
Li2 0.000 0.500 0.000
Li3 0.500 0.000 0.000
In1 0.500 0.500 0.500
Si1 0.000 0.000 0.000



Entry 24:
Here is a crystal of Li2InSn relaxed with PBEsol from the Alexandria database. Energies are from SCAN.

Values from the calculation:
The formation energy from the elements is -1.54 eV/f.u.

abc: 4.761 4.761 4.761
angles: 60.00 60.00 60.00
Fractional coordinates of all 4 atoms:
Li1 0.250 0.250 0.250
Li2 0.750 0.750 0.750
In1 0.000 0.000 0.000
Sn1 0.500 0.500 0.500



Entry 25:
Here is a crystal of SrLiIn2 relaxed with PBEsol from the Alexandria database. Energies are from SCAN.

Values from the calculation:
The formation energy from the elements is -2.04 eV/f.u.

abc: 6.343 6.343 6.343
angles: 43.92 43.92 43.92
Fractional coordinates of all 4 atoms:
Sr1 0.000 0.000 0.000
Li1 0.500 0.500 0.500
In1 0.205 0.205 0.205
In2 0.795 0.795 0.795



Entry 26:
Here is a crystal of SrLiIn relaxed with PBEsol from the Alexandria database. Energies are from SCAN.

Values from the calculation:
The formation energy from the elements is -1.04 eV/f.u.

abc: 6.292 6.292 6.292
angles: 144.28 144.28 51.41
Fractional coordinates of all 3 atoms:
Sr1 0.000 0.000 0.000
Li1 0.295 0.295 0.000
In1 0.691 0.691 0.000



Entry 27:
Here is a crystal of SrLiIn2 relaxed with PBEsol from the Alexandria database. Energies are from SCAN.

Values from the calculation:
The formation energy from the elements is -1.87 eV/f.u.

abc: 3.486 3.693 7.725
angles: 90.00 90.00 90.00
Fractional coordinates of all 4 atoms:
Sr1 0.000 0.000 0.000
Li1 0.000 0.000 0.500
In1 0.500 0.500 0.304
In2 0.500 0.500 0.696



Entry 28:
Here is a crystal of SrLiIn2 relaxed with PBEsol from the Alexandria database. Energies are from SCAN.

Values from the calculation:
The formation energy from the elements is -1.91 eV/f.u.

abc: 6.309 6.309 6.309
angles: 43.96 43.96 43.96
Fractional coordinates of all 4 atoms:
Sr1 0.000 0.000 0.000
Li1 0.195 0.195 0.195
In1 0.527 0.527 0.527
In2 0.790 0.790 0.790



| no. | calculated total energy (eV per atom) |
| --- | --- |
| 1 | -19.98 |
| 2 | -22.79 |
| 3 | -22.71 |
| 4 | -19.22 |
| 5 | -19.87 |
| 6 | -12.73 |
| 7 | -19.36 |
| 8 | -19.90 |
| 9 | -15.25 |
| 10 | -15.11 |
| 11 | -19.98 |
| 12 | -19.66 |
| 13 | -19.23 |
| 14 | -15.19 |
| 15 | -13.73 |
| 16 | -13.73 |
| 17 | -19.74 |
| 18 | -19.69 |
| 19 | -19.72 |
| 20 | -13.84 |
| 21 | -15.13 |
| 22 | -19.67 |
| 23 | -10.02 |
| 24 | -18.91 |
| 25 | -23.37 |
| 26 | -19.70 |
| 27 | -23.33 |
| 28 | -23.34 |